[1]
{
  "formula": "CaPrIr",
  "functional": "PBE",
  "state": "optimized geometry",
  "lattice_angstrom": [[4.1894, 0.0000, 0.0000], [-2.0947, 3.6282, 0.0000], [0.0000, 0.0000, 6.4431]],
  "species": ["Ca", "Pr", "Ir"],
  "frac_coords": [[0.0000, 0.0000, 0.0000], [0.6667, 0.3333, 0.4654], [0.3333, 0.6667, 0.2417]],
  "de_polymorph_ev_per_atom": 0.1263,
  "formation_energy_ev_per_fu": -1.0,
  "space_group": "No. 156",
  "total_energy_ev_per_atom": -5.545
}

***

[2]
{
  "formula": "RbBeBiF6",
  "functional": "PBE",
  "state": "optimized geometry",
  "lattice_angstrom": [[5.5475, 0.0000, 0.0000], [-2.7738, 4.8043, 0.0000], [0.0000, 0.0000, 5.9770]],
  "species": ["Rb", "Be", "Bi", "F", "F", "F", "F", "F", "F"],
  "frac_coords": [[0.0000, 0.0000, 0.0000], [0.3333, 0.6667, 0.5000], [0.6667, 0.3333, 0.5000], [0.0629, 0.4094, 0.6772], [0.0629, 0.6536, 0.3228], [0.3464, 0.4094, 0.3228], [0.3464, 0.9371, 0.6772], [0.5906, 0.6536, 0.6772], [0.5906, 0.9371, 0.3228]],
  "raw_formation_energy_ev_per_atom": -2.673,
  "space_group": "No. 149",
  "total_energy_ev_per_atom": -4.874
}

***

[3]
{
  "formula": "BeSbRuI2",
  "functional": "PBE",
  "state": "optimized geometry",
  "lattice_angstrom": [[5.5259, 0.0000, 0.0000], [0.0000, 5.5259, 0.0000], [0.0000, 0.0000, 5.0055]],
  "species": ["Be", "Sb", "Ru", "I", "I"],
  "frac_coords": [[0.0000, 0.0000, 0.0000], [0.5000, 0.5000, 0.0000], [0.5000, 0.5000, 0.5000], [0.0000, 0.5000, 0.5000], [0.5000, 0.0000, 0.5000]],
  "raw_formation_energy_ev_per_atom": 0.899,
  "de_polymorph_ev_per_atom": 0.0000,
  "space_group": "No. 123",
  "total_energy_ev_per_atom": -3.146
}

***

[4]
{
  "formula": "MgScSb",
  "functional": "PBE",
  "state": "optimized geometry",
  "lattice_angstrom": [[-1.9310, 1.9310, 4.7628], [1.9310, -1.9310, 4.7628], [1.9310, 1.9310, -4.7628]],
  "species": ["Mg", "Sc", "Sb"],
  "frac_coords": [[0.0000, 0.0000, 0.0000], [0.3212, 0.3212, 0.0000], [0.6725, 0.6725, 0.0000]],
  "raw_formation_energy_ev_per_atom": -0.320,
  "de_polymorph_ev_per_atom": 0.2382,
  "space_group": "No. 107",
  "total_energy_ev_per_atom": -4.336
}

***

[5]
{
  "formula": "Pr2Y8Cd",
  "functional": "PBE",
  "state": "optimized geometry",
  "lattice_angstrom": [[9.7870, -2.8093, 0.0000], [9.7870, 2.8093, 0.0000], [-0.5619, 0.0000, 6.4857]],
  "species": ["Pr", "Pr", "Y", "Y", "Y", "Y", "Y", "Y", "Y", "Y", "Cd"],
  "frac_coords": [[0.2434, 0.2434, 0.3328], [0.7566, 0.7566, 0.6672], [0.0432, 0.0432, 0.2627], [0.1524, 0.1524, 0.8093], [0.3417, 0.3417, 0.8749], [0.4229, 0.4229, 0.3979], [0.5771, 0.5771, 0.6021], [0.6583, 0.6583, 0.1251], [0.8476, 0.8476, 0.1907], [0.9568, 0.9568, 0.7373], [0.5000, 0.5000, 0.0000]],
  "de_polymorph_ev_per_atom": 0.0000,
  "formation_energy_ev_per_fu": -0.2,
  "space_group": "No. 12",
  "total_energy_ev_per_atom": -5.668
}

***

[6]
{
  "formula": "SmPt9Pb2",
  "functional": "PBE",
  "state": "optimized geometry",
  "lattice_angstrom": [[2.7247, 1.5731, 8.9027], [-2.7247, 1.5731, 8.9027], [0.0000, -3.1462, 8.9027]],
  "species": ["Sm", "Pt", "Pt", "Pt", "Pt", "Pt", "Pt", "Pt", "Pt", "Pt", "Pb", "Pb"],
  "frac_coords": [[0.0000, 0.0000, 0.0000], [0.0806, 0.5847, 0.5847], [0.3330, 0.3330, 0.3330], [0.4153, 0.4153, 0.9194], [0.4153, 0.9194, 0.4153], [0.5000, 0.5000, 0.5000], [0.5847, 0.0806, 0.5847], [0.5847, 0.5847, 0.0806], [0.6670, 0.6670, 0.6670], [0.9194, 0.4153, 0.4153], [0.1380, 0.1380, 0.1380], [0.8620, 0.8620, 0.8620]],
  "formation_energy_ev_per_fu": -5.2,
  "space_group": "No. 166",
  "total_energy_ev_per_atom": -5.972
}

***

[7]
{
  "formula": "Nd4NiAsI2",
  "functional": "PBE",
  "state": "optimized geometry",
  "lattice_angstrom": [[7.6388, 0.0000, 0.0000], [0.0000, 4.1349, 0.0000], [-2.3032, 0.0000, 7.7595]],
  "species": ["Nd", "Nd", "Nd", "Nd", "Ni", "As", "I", "I"],
  "frac_coords": [[0.2077, 0.0000, 0.1864], [0.2609, 0.5000, 0.8020], [0.7391, 0.5000, 0.1980], [0.7923, 0.0000, 0.8136], [0.0000, 0.5000, 0.0000], [0.5000, 0.0000, 0.0000], [0.0000, 0.0000, 0.5000], [0.5000, 0.5000, 0.5000]],
  "raw_formation_energy_ev_per_atom": -0.953,
  "space_group": "No. 10",
  "total_energy_ev_per_atom": -5.028
}

***

[8]
{
  "formula": "Tl3Au2",
  "functional": "PBE",
  "state": "optimized geometry",
  "lattice_angstrom": [[-1.7928, 1.7928, 10.0046], [1.7928, -1.7928, 10.0046], [1.7928, 1.7928, -10.0046]],
  "species": ["Tl", "Tl", "Tl", "Au", "Au"],
  "frac_coords": [[0.0000, 0.0000, 0.0000], [0.1842, 0.1842, 0.0000], [0.8158, 0.8158, 0.0000], [0.4040, 0.4040, 0.0000], [0.5960, 0.5960, 0.0000]],
  "de_polymorph_ev_per_atom": 0.0136,
  "formation_energy_ev_per_fu": 0.0,
  "space_group": "No. 139",
  "total_energy_ev_per_atom": -2.732
}

***

[9]
{
  "formula": "Ce2MoP3Ir4",
  "functional": "PBE",
  "state": "optimized geometry",
  "lattice_angstrom": [[4.0942, 0.0000, 0.0000], [0.0000, 4.0942, 0.0000], [0.0000, 0.0000, 10.2694]],
  "species": ["Ce", "Ce", "Mo", "P", "P", "P", "Ir", "Ir", "Ir", "Ir"],
  "frac_coords": [[0.0000, 0.5000, 0.2395], [0.5000, 0.0000, 0.7605], [0.0000, 0.0000, 0.5000], [0.0000, 0.5000, 0.8651], [0.5000, 0.0000, 0.1349], [0.5000, 0.5000, 0.5000], [0.0000, 0.0000, 0.0000], [0.0000, 0.5000, 0.6353], [0.5000, 0.0000, 0.3647], [0.5000, 0.5000, 0.0000]],
  "formation_energy_ev_per_fu": -8.2,
  "space_group": "No. 115",
  "total_energy_ev_per_atom": -8.254
}

***

[10]
{
  "formula": "LaDyCdSn",
  "functional": "PBE",
  "state": "optimized geometry",
  "lattice_angstrom": [[0.0000, 3.8360, 3.8360], [3.8360, 0.0000, 3.8360], [3.8360, 3.8360, 0.0000]],
  "species": ["La", "Dy", "Cd", "Sn"],
  "frac_coords": [[0.0000, 0.0000, 0.0000], [0.5000, 0.5000, 0.5000], [0.7500, 0.7500, 0.7500], [0.2500, 0.2500, 0.2500]],
  "formation_energy_ev_per_fu": -2.1,
  "space_group": "No. 216",
  "total_energy_ev_per_atom": -4.141
}